1.
Below is a geometry-optimized Dy12Pb3O5 structure, with properties calculated at the GGA-PBE level.

Cell: 13.5731 13.5731 13.5731 Å, 109.47 109.47 109.47°
With the nearest neighbours (Å) after each atom.
Sites, in units of the cell vectors:
Dy: 0.6888 0.1946 0.5891  1 O 2.20
Dy: 0.3945 0.9942 0.8054  1 O 2.20
Pb: 0.7500 0.3750 0.1250  8 Dy 3.16-3.26
Dy: 0.6888 0.4942 0.5997  1 O 2.20
Dy: 0.8054 0.3112 0.9109  1 O 2.20
Pb: 0.3750 0.7500 0.6250  8 Dy 3.16-3.26
O: 0.2500 0.8750 0.1250  4 Dy 2.20
Dy: 0.0058 0.4003 0.8112  1 O 2.20
Pb: 0.6250 0.2500 0.3750  8 Dy 3.16-3.26
Dy: 0.3054 0.8945 0.9942  1 O 2.20
Dy: 0.5058 0.3112 0.9003  1 O 2.20
Dy: 0.5891 0.8945 0.4003  1 O 2.20
Dy: 0.9109 0.0997 0.6055  1 O 2.20
Dy: 0.6055 0.0058 0.1946  1 O 2.20
Dy: 0.1946 0.5058 0.6055  1 O 2.20
Pb: 0.1250 0.8750 0.7500  8 Dy 3.16-3.26
Dy: 0.3112 0.8054 0.4109  1 O 2.20
O: 0.2500 0.3750 0.6250  4 Dy 2.20
Pb: 0.2500 0.6250 0.8750  8 Dy 3.16-3.26
Pb: 0.3750 0.6250 0.2500  8 Dy 3.16-3.26
Pb: 0.8750 0.1250 0.2500  8 Dy 3.16-3.26
Dy: 0.0891 0.1888 0.1946  1 O 2.20
Dy: 0.3112 0.5058 0.4003  1 O 2.20
Dy: 0.9003 0.8112 0.5058  1 O 2.20
Dy: 0.5997 0.9942 0.6888  1 O 2.20
O: 0.0000 0.5000 0.0000  6 Dy 2.51
Dy: 0.0997 0.1888 0.4942  1 O 2.20
Dy: 0.0997 0.9109 0.1055  1 O 2.20
Dy: 0.0891 0.9003 0.3945  1 O 2.20
Dy: 0.1055 0.4109 0.0997  1 O 2.20
Dy: 0.4109 0.1055 0.5997  1 O 2.20
Dy: 0.4109 0.3054 0.3112  1 O 2.20
O: 0.6250 0.8750 0.2500  4 Dy 2.20
Pb: 0.1250 0.2500 0.8750  8 Dy 3.16-3.26
Dy: 0.8112 0.9003 0.0058  1 O 2.20
O: 0.5000 0.0000 0.0000  6 Dy 2.51
Dy: 0.8112 0.9109 0.3054  1 O 2.20
Dy: 0.1946 0.6888 0.0891  1 O 2.20
Dy: 0.1888 0.0997 0.9942  1 O 2.20
Dy: 0.4003 0.3945 0.5891  1 O 2.20
O: 0.0000 0.0000 0.5000  6 Dy 2.51
Dy: 0.9942 0.3945 0.3054  1 O 2.20
O: 0.6250 0.7500 0.8750  4 Dy 2.20
Dy: 0.9942 0.5997 0.1888  1 O 2.20
Dy: 0.1888 0.0891 0.6946  1 O 2.20
Dy: 0.9109 0.8112 0.8054  1 O 2.20
Dy: 0.8945 0.3054 0.4942  1 O 2.20
O: 0.1250 0.7500 0.3750  4 Dy 2.20
Dy: 0.6946 0.1055 0.0058  1 O 2.20
Dy: 0.4942 0.8054 0.8945  1 O 2.20
Dy: 0.4942 0.6888 0.0997  1 O 2.20
Dy: 0.5997 0.6055 0.4109  1 O 2.20
O: 0.5000 0.5000 0.0000  6 Dy 2.51
O: 0.7500 0.1250 0.8750  4 Dy 2.20
Pb: 0.7500 0.8750 0.6250  8 Dy 3.16-3.26
O: 0.5000 0.5000 0.5000  6 Dy 2.51
O: 0.0000 0.0000 0.0000  6 Dy 2.51
Dy: 0.9003 0.0891 0.8945  1 O 2.20
Dy: 0.5891 0.6946 0.6888  1 O 2.20
Dy: 0.0058 0.6055 0.6946  1 O 2.20
Dy: 0.8054 0.4942 0.3945  1 O 2.20
O: 0.7500 0.6250 0.3750  4 Dy 2.20
O: 0.5000 0.0000 0.5000  6 Dy 2.51
O: 0.8750 0.6250 0.7500  4 Dy 2.20
Pb: 0.6250 0.3750 0.7500  8 Dy 3.16-3.26
O: 0.8750 0.2500 0.6250  4 Dy 2.20
Dy: 0.6055 0.5997 0.9109  1 O 2.20
Dy: 0.1055 0.6946 0.5058  1 O 2.20
Pb: 0.8750 0.7500 0.1250  8 Dy 3.16-3.26
O: 0.1250 0.3750 0.2500  4 Dy 2.20
Dy: 0.8945 0.5891 0.9003  1 O 2.20
Dy: 0.6946 0.5891 0.1888  1 O 2.20
Dy: 0.3054 0.4109 0.8112  1 O 2.20
Dy: 0.5058 0.1946 0.1055  1 O 2.20
Pb: 0.2500 0.1250 0.3750  8 Dy 3.16-3.26
O: 0.3750 0.2500 0.1250  4 Dy 2.20
O: 0.0000 0.5000 0.5000  6 Dy 2.51
Dy: 0.4003 0.0058 0.3112  1 O 2.20
O: 0.3750 0.1250 0.7500  4 Dy 2.20
Dy: 0.3945 0.4003 0.0891  1 O 2.20

Output
Its space group is No. 230. Its uncorrected formation energy is -1.56 eV/atom.

---

2.
Below is a geometry-optimized DyPbO structure, with properties calculated at the GGA-PBE level.

Cell: 3.4303 7.3207 7.3207 Å, 122.48 90.00 90.00°
With the nearest neighbours (Å) after each atom.
Sites, in units of the cell vectors:
Dy: 0.0000 0.0000 0.0000  2 O 2.12
Pb: 0.5000 0.7706 0.2294  3 Dy 3.41-3.47, 4 Pb 3.43-3.56
O: 0.0000 0.3013 0.3013  3 Dy 2.12-2.21
Dy: 0.5000 0.5000 0.5000  4 O 2.21
O: 0.0000 0.6987 0.6987  3 Dy 2.12-2.21
Pb: 0.5000 0.2294 0.7706  3 Dy 3.41-3.47, 4 Pb 3.43-3.56

Output
Its space group is No. 65. Its uncorrected formation energy is -1.70 eV/atom.

---

3.
Below is a geometry-optimized DyPdPb2O6 structure, with properties calculated at the GGA-PBE level.

Cell: 5.7826 5.9208 8.2606 Å, 90.00 90.02 90.00°
With the nearest neighbours (Å) after each atom.
Sites, in units of the cell vectors:
Dy: 0.5000 0.0000 0.0000  6 O 2.25-2.26
Dy: 0.0000 0.5000 0.5000  6 O 2.25-2.26
Pb: 0.5090 0.5425 0.7496  4 O 2.44-2.60
O: 0.7830 0.8089 0.5473  1 Pd 2.03, 1 Dy 2.25
O: 0.2830 0.6911 0.0473  1 Pd 2.03, 1 Dy 2.25
O: 0.7170 0.3089 0.9527  1 Pd 2.03, 1 Dy 2.25
O: 0.0951 0.4695 0.7648  1 Pd 2.03, 1 Dy 2.26
Pb: 0.4910 0.4575 0.2504  4 O 2.44-2.60
Pb: 0.0090 0.9575 0.2496  4 O 2.44-2.60
O: 0.4049 0.9695 0.7352  1 Pd 2.03, 1 Dy 2.26
O: 0.3140 0.7168 0.4524  1 Pd 2.03, 1 Dy 2.26
Pb: 0.9910 0.0425 0.7504  4 O 2.44-2.60
Pd: 0.5000 0.0000 0.5000  6 O 2.03
O: 0.9049 0.5305 0.2352  1 Pd 2.03, 1 Dy 2.26
Pd: 0.0000 0.5000 0.0000  6 O 2.03
O: 0.5951 0.0305 0.2648  1 Pd 2.03, 1 Dy 2.26
O: 0.1860 0.2168 0.0476  1 Pd 2.03, 1 Dy 2.26
O: 0.6860 0.2832 0.5476  1 Pd 2.03, 1 Dy 2.26
O: 0.8140 0.7832 0.9524  1 Pd 2.03, 1 Dy 2.26
O: 0.2170 0.1911 0.4527  1 Pd 2.03, 1 Dy 2.25

Output
Its space group is No. 14. Its uncorrected formation energy is -1.40 eV/atom.

---

Number 1: theoretical density 9.15 Mg/m³. Number 2: theoretical density 8.26 Mg/m³. Number 3: theoretical density 9.15 Mg/m³.